[1]
Compound: Mo2AsPb
Source: the Alexandria database
Functional: GGA-PBE
Structure: relaxed

Structure (extended XYZ):
```
12
Lattice="3.1071 0.0000 0.0000 -1.5536 2.6908 0.0000 0.0000 0.0000 29.4684" Properties=species:S:1:pos:R:3 pbc="T T T"
Mo 0.0000 0.0000 0.0000
Mo 0.0000 0.0000 7.8688
Mo 0.0000 1.7939 19.6456
Mo 0.0000 1.7939 27.5144
Mo 1.5536 0.8969 9.8228
Mo 1.5536 0.8969 17.6916
As 0.0000 0.0000 21.5868
As 0.0000 1.7939 11.7640
As 1.5536 0.8969 1.9412
Pb 0.0000 0.0000 15.1286
Pb 0.0000 1.7939 5.3058
Pb 1.5536 0.8969 24.9515
```

## Properties
electronic total energy: -7.214 eV/atom
formation energy: 291 meV/atom
polymorph energy (0 for the lowest one): 128 meV/atom

---

[2]
Compound: Mo2AsPb
Source: the Alexandria database
Functional: GGA-PBE
Structure: relaxed

Structure (extended XYZ):
```
4
Lattice="4.6269 0.0000 0.0000 0.0000 4.6269 0.0000 0.0000 0.0000 3.2925" Properties=species:S:1:pos:R:3 pbc="T T T"
Mo 0.0000 2.3134 0.0000
Mo 2.3134 0.0000 0.0000
As 0.0000 0.0000 1.6462
Pb 2.3134 2.3134 1.6462
```

## Properties
electronic total energy: -6.945 eV/atom
formation energy: 560 meV/atom
polymorph energy (0 for the lowest one): 397 meV/atom

---

[3]
Compound: MoAs2Pb
Source: the Alexandria database
Functional: GGA-PBE
Structure: relaxed

Structure (extended XYZ):
```
4
Lattice="3.4589 0.0000 0.0000 0.0000 4.7408 0.0000 0.0000 0.0000 4.8381" Properties=species:S:1:pos:R:3 pbc="T T T"
Mo 0.0000 0.0000 0.0000
As 0.0000 2.3704 2.4191
As 1.7295 0.0000 2.4191
Pb 1.7295 2.3704 0.0000
```

## Properties
electronic total energy: -5.304 eV/atom
formation energy: 656 meV/atom

---

[4]
Compound: Mo2AsPb
Source: the Alexandria database
Functional: GGA-PBE
Structure: relaxed

Structure (extended XYZ):
```
8
Lattice="8.8000 0.0000 0.0000 0.0000 3.2587 0.0000 -1.2755 0.0000 5.8970" Properties=species:S:1:pos:R:3 pbc="T T T"
Mo 0.0000 0.0000 0.0000
Mo 1.6171 1.6294 1.1034
Mo 4.4000 1.6294 0.0000
Mo 6.0171 0.0000 1.1034
As 1.1691 0.0000 5.1060
As 5.5691 1.6294 5.1060
Pb 3.6216 0.0000 2.7129
Pb 8.0217 1.6294 2.7129
```

## Properties
electronic total energy: -7.136 eV/atom
formation energy: 369 meV/atom
polymorph energy (0 for the lowest one): 205 meV/atom

---

[5]
Compound: MoAs2Pb
Source: the Alexandria database
Functional: GGA-PBE
Structure: relaxed

Structure (extended XYZ):
```
8
Lattice="3.2517 0.0000 0.0000 0.0000 3.5724 0.0000 0.0000 0.0000 15.2175" Properties=species:S:1:pos:R:3 pbc="T T T"
Mo 0.0000 0.0000 0.0000
Mo 1.6258 1.7862 7.6087
As 0.0000 0.0000 8.6114
As 0.0000 1.7862 5.7052
As 1.6258 0.0000 13.3139
As 1.6258 1.7862 1.0027
Pb 0.0000 1.7862 11.0560
Pb 1.6258 0.0000 3.4473
```

## Properties
electronic total energy: -5.892 eV/atom
formation energy: 68 meV/atom

---

[6]
Compound: MoAsPb
Source: the Alexandria database
Functional: GGA-PBE
Structure: relaxed

Structure (extended XYZ):
```
3
Lattice="4.3708 0.0000 0.0000 -2.1854 3.7852 0.0000 0.0000 0.0000 3.8615" Properties=species:S:1:pos:R:3 pbc="T T T"
Mo 0.0000 0.0000 0.0000
As 0.0000 2.5235 0.0000
Pb 2.1854 1.2617 1.9308
```

## Properties
electronic total energy: -5.984 eV/atom
formation energy: 412 meV/atom
polymorph energy (0 for the lowest one): 236 meV/atom

---

[7]
Compound: MoAsPb
Source: the Alexandria database
Functional: GGA-PBE
Structure: relaxed

Structure (extended XYZ):
```
12
Lattice="3.6343 0.0000 0.0000 0.0000 4.8936 0.0000 0.0000 0.0000 15.7660" Properties=species:S:1:pos:R:3 pbc="T T T"
Mo 0.0000 0.0000 0.0000
Mo 0.0000 2.4468 7.8830
Mo 1.8172 0.0000 7.8830
Mo 1.8172 2.4468 0.0000
As 0.0000 0.0000 6.1267
As 0.0000 2.4468 14.0097
As 1.8172 0.0000 14.0097
As 1.8172 2.4468 6.1267
Pb 0.0000 0.0000 10.3024
Pb 0.0000 2.4468 2.4194
Pb 1.8172 0.0000 2.4194
Pb 1.8172 2.4468 10.3024
```

## Properties
electronic total energy: -6.061 eV/atom
formation energy: 336 meV/atom
polymorph energy (0 for the lowest one): 160 meV/atom

---

[8]
Compound: MoAsPb
Source: the Alexandria database
Functional: GGA-PBE
Structure: relaxed

Structure (extended XYZ):
```
3
Lattice="3.3157 0.0000 0.0000 -1.6578 2.8715 0.0000 0.0000 0.0000 6.6229" Properties=species:S:1:pos:R:3 pbc="T T T"
Mo 0.0000 0.0000 0.0000
As 0.0000 1.9143 4.9863
Pb 1.6578 0.9572 2.3166
```

## Properties
electronic total energy: -6.220 eV/atom
formation energy: 176 meV/atom
polymorph energy (0 for the lowest one): 0 meV/atom

---

[9]
Compound: MoAs2Pb
Source: the Alexandria database
Functional: GGA-PBE
Structure: relaxed

Structure (extended XYZ):
```
12
Lattice="3.2475 0.0000 0.0000 -1.6237 2.8124 0.0000 0.0000 0.0000 28.5660" Properties=species:S:1:pos:R:3 pbc="T T T"
Mo 0.0000 0.0000 0.0000
Mo 0.0000 1.8749 19.0440
Mo 1.6237 0.9375 9.5220
As 0.0000 0.0000 7.7375
As 0.0000 0.0000 20.8285
As 0.0000 1.8749 11.3065
As 0.0000 1.8749 26.7815
As 1.6237 0.9375 1.7845
As 1.6237 0.9375 17.2595
Pb 0.0000 0.0000 14.2830
Pb 0.0000 1.8749 4.7610
Pb 1.6237 0.9375 23.8050
```

## Properties
electronic total energy: -6.014 eV/atom
formation energy: -54 meV/atom

---

[10]
Compound: MoAs2Pb2
Source: the Alexandria database
Functional: GGA-PBE
Structure: relaxed

Structure (extended XYZ):
```
10
Lattice="6.6503 0.0000 0.0000 0.0000 6.6503 0.0000 0.0000 0.0000 5.2851" Properties=species:S:1:pos:R:3 pbc="T T T"
Mo 0.0000 0.0000 0.0000
Mo 3.3252 3.3252 0.0000
As 0.9825 2.3427 0.0000
As 2.3427 5.6678 0.0000
As 4.3076 0.9825 0.0000
As 5.6678 4.3076 0.0000
Pb 1.2040 4.5292 2.6425
Pb 2.1211 1.2040 2.6425
Pb 4.5292 5.4463 2.6425
Pb 5.4463 2.1211 2.6425
```

## Properties
electronic total energy: -5.305 eV/atom
formation energy: 204 meV/atom
polymorph energy (0 for the lowest one): 0 meV/atom

---

[11]
Compound: MoAs2Pb
Source: the Alexandria database
Functional: GGA-PBE
Structure: relaxed

Structure (extended XYZ):
```
4
Lattice="3.7140 0.0000 0.0000 0.0000 4.6684 0.0000 -1.0709 0.0000 5.0555" Properties=species:S:1:pos:R:3 pbc="T T T"
Mo 0.0000 0.0000 0.0000
As -0.1509 2.3342 4.2042
As 2.7939 2.3342 0.8514
Pb 1.3215 0.0000 2.5278
```

## Properties
electronic total energy: -5.578 eV/atom
formation energy: 382 meV/atom

---

[12]
Compound: MoAs2Pb
Source: the Alexandria database
Functional: GGA-PBE
Structure: relaxed

Structure (extended XYZ):
```
8
Lattice="3.5580 0.0000 0.0000 0.0000 5.1157 0.0000 0.0000 0.0000 9.6177" Properties=species:S:1:pos:R:3 pbc="T T T"
Mo 0.0000 0.0000 0.0000
Mo 1.7790 2.5579 0.0000
As 0.0000 2.5579 1.8292
As 0.0000 2.5579 7.7886
As 1.7790 0.0000 1.8292
As 1.7790 0.0000 7.7886
Pb 0.0000 0.0000 4.8089
Pb 1.7790 2.5579 4.8089
```

## Properties
electronic total energy: -5.739 eV/atom
formation energy: 221 meV/atom

---

[13]
Compound: Mo2AsPb
Source: the Alexandria database
Functional: GGA-PBE
Structure: relaxed

Structure (extended XYZ):
```
12
Lattice="3.1709 0.0000 0.0000 -1.5854 2.7461 0.0000 0.0000 0.0000 25.1858" Properties=species:S:1:pos:R:3 pbc="T T T"
Mo 0.0000 0.0000 6.0363
Mo 0.0000 0.0000 19.1495
Mo 0.0000 1.8307 10.7543
Mo 0.0000 1.8307 22.8268
Mo 1.5854 0.9154 2.3590
Mo 1.5854 0.9154 14.4315
As 0.0000 0.0000 12.5929
As 0.0000 1.8307 4.1976
As 1.5854 0.9154 20.9882
Pb 0.0000 0.0000 0.0000
Pb 0.0000 1.8307 16.7906
Pb 1.5854 0.9154 8.3953
```

## Properties
electronic total energy: -7.033 eV/atom
formation energy: 472 meV/atom
polymorph energy (0 for the lowest one): 309 meV/atom

---

[14]
Compound: Mo2AsPb
Source: the Alexandria database
Functional: GGA-PBE
Structure: relaxed

Structure (extended XYZ):
```
8
Lattice="3.2230 0.0000 0.0000 0.0000 5.3133 0.0000 0.0000 0.0000 8.6927" Properties=species:S:1:pos:R:3 pbc="T T T"
Mo 0.0000 0.0000 1.8896
Mo 0.0000 0.0000 6.8031
Mo 1.6115 2.6566 2.4567
Mo 1.6115 2.6566 6.2360
As 0.0000 2.6566 4.3464
As 1.6115 0.0000 0.0000
Pb 0.0000 2.6566 0.0000
Pb 1.6115 0.0000 4.3464
```

## Properties
electronic total energy: -6.976 eV/atom
formation energy: 529 meV/atom
polymorph energy (0 for the lowest one): 366 meV/atom

---

[15]
Compound: Mo2AsPb
Source: the Alexandria database
Functional: GGA-PBE
Structure: relaxed

Structure (extended XYZ):
```
8
Lattice="3.3568 0.0000 0.0000 0.0000 5.2193 0.0000 0.0000 0.0000 8.4972" Properties=species:S:1:pos:R:3 pbc="T T T"
Mo 0.0000 0.0000 1.8409
Mo 0.0000 0.0000 6.6563
Mo 1.6784 2.6096 1.8409
Mo 1.6784 2.6096 6.6563
As 0.0000 2.6096 0.0000
As 1.6784 0.0000 0.0000
Pb 0.0000 2.6096 4.2486
Pb 1.6784 0.0000 4.2486
```

## Properties
electronic total energy: -6.939 eV/atom
formation energy: 566 meV/atom
polymorph energy (0 for the lowest one): 403 meV/atom

---

[16]
Compound: Mo2AsPb
Source: the Alexandria database
Functional: GGA-PBE
Structure: relaxed

Structure (extended XYZ):
```
4
Lattice="3.2856 0.0000 0.0000 0.0000 4.3709 0.0000 0.0000 0.0000 5.1684" Properties=species:S:1:pos:R:3 pbc="T T T"
Mo 0.0000 0.0000 0.0000
Mo 1.6428 0.0000 2.5842
As 0.0000 2.1855 2.5842
Pb 1.6428 2.1855 0.0000
```

## Properties
electronic total energy: -6.790 eV/atom
formation energy: 715 meV/atom
polymorph energy (0 for the lowest one): 552 meV/atom